1.
Here is a geometry-optimized Nd2Tm8Cd structure from Alexandria. Energies are from PBE.

For the formation energy, the calculation gives 0.01 eV/atom. As for the space-group type: C2/m (12). The value obtained for the total energy is -46.2 eV per cell.

Cell: 9.6896 9.6896 6.7250 Å, 93.53 93.53 32.16°
Positions (direct):
Nd 0.2229 0.2229 0.1693
Nd 0.7771 0.7771 0.8307
Tm 0.0356 0.0356 0.2493
Tm 0.1574 0.1574 0.6727
Tm 0.3434 0.3434 0.5941
Tm 0.4114 0.4114 0.0814
Tm 0.5886 0.5886 0.9186
Tm 0.6566 0.6566 0.4059
Tm 0.8426 0.8426 0.3273
Tm 0.9644 0.9644 0.7507
Cd 0.5000 0.5000 0.5000

=====

2.
Here is a geometry-optimized NdTm5Cd4 structure from Alexandria. Energies are from PBE.

For the formation energy, the calculation gives -0.24 eV/atom. As for the space-group type: P4/mmm (123). The value obtained for the total energy is -33.2 eV per cell.

Cell: 3.6536 3.6536 20.1241 Å, 90.00 90.00 90.00°
Positions (direct):
Nd 0.0000 0.0000 0.0000
Tm 0.5000 0.5000 0.1244
Tm 0.5000 0.5000 0.3132
Tm 0.5000 0.5000 0.5000
Tm 0.5000 0.5000 0.6868
Tm 0.5000 0.5000 0.8756
Cd 0.0000 0.0000 0.2184
Cd 0.0000 0.0000 0.4054
Cd 0.0000 0.0000 0.5946
Cd 0.0000 0.0000 0.7816